Version one
Below is a relaxed SrZrPCl2 crystal, with properties calculated at the PBE level.

Computed properties:
crystal system	tetragonal

```
SrZrPCl2
1.0
5.0081 0.0000 0.0000
0.0000 5.0081 0.0000
0.0000 0.0000 5.2185
Sr P Zr Cl
1 1 1 2
direct
0.5000 0.5000 0.5000 Sr
0.0000 0.0000 0.5000 P
0.0000 0.0000 0.0000 Zr
0.0000 0.5000 0.0000 Cl
0.5000 0.0000 0.0000 Cl
```



Version two
Below is a relaxed SrZrPCl2 crystal, with properties calculated at the PBE level.

Computed properties:
crystal system	tetragonal

```
SrZrPCl2
1.0
-1.6794 -2.4033 -4.2739
4.7685 0.2517 -2.0152
1.3507 -5.4230 2.5187
Sr P Zr Cl
1 1 1 2
direct
0.0000 0.0000 0.0000 Sr
0.0000 0.0000 0.5000 P
0.5000 0.5000 0.5000 Zr
0.0000 0.5000 0.0000 Cl
0.5000 0.0000 0.0000 Cl
```



Taking the most stable structure as the zero point, the relative energies in kJ/mol of atoms are version one 0.0; version two 105.1.



Version one
Below is a relaxed TaP2Cl crystal, with properties calculated at the PBE level.

Computed properties:
crystal system	monoclinic

```
TaP2Cl
1.0
-0.8972 4.4602 -1.0438
-3.5578 3.0204 -0.0826
0.6077 2.1351 4.8800
Cl P Ta
1 2 1
direct
0.2500 0.2500 0.2500 Cl
0.0200 0.0200 0.9008 P
0.4800 0.4800 0.5992 P
0.7500 0.7500 0.7500 Ta
```



Version two
Below is a relaxed TaP2Cl crystal, with properties calculated at the PBE level.

Computed properties:
crystal system	tetragonal

```
TaP2Cl
1.0
6.0803 0.0000 0.0000
0.0000 6.0803 0.0000
3.0402 3.0402 5.6703
P Cl Ta
4 2 2
direct
0.6884 0.1250 0.2500 P
0.0616 0.6250 0.2500 P
0.3750 0.3116 0.7500 P
0.8750 0.9384 0.7500 P
0.5000 0.5000 0.0000 Cl
0.2500 0.7500 0.5000 Cl
0.0000 0.0000 0.0000 Ta
0.7500 0.2500 0.5000 Ta
```



Taking the most stable structure as the zero point, the relative energies in kJ/mol of atoms are version one 0.0; version two 36.6.



Version one
Below is a relaxed TaP2Cl crystal, with properties calculated at the PBE level.

Computed properties:
crystal system	cubic

```
TaP2Cl
1.0
-1.6818 -3.6837 -1.8436
2.5480 -3.6178 -0.4646
-0.7619 -3.5948 2.5087
Cl P Ta
1 2 1
direct
0.5000 0.5000 0.5000 Cl
0.0000 0.0000 0.0000 P
0.2500 0.2500 0.2500 P
0.7500 0.7500 0.7500 Ta
```



Version two
Below is a relaxed TaP2Cl crystal, with properties calculated at the PBE level.

Computed properties:
crystal system	orthorhombic

```
TaP2Cl
1.0
-1.5667 1.2111 -1.9928
-1.7720 -1.7920 1.2415
-2.8635 7.5848 6.8608
Cl P Ta
1 2 1
direct
0.5000 0.5000 0.7500 Cl
0.0000 0.0000 0.0707 P
0.0000 0.0000 0.4293 P
0.5000 0.5000 0.2500 Ta
```



Taking the most stable structure as the zero point, the relative energies in kJ/mol of atoms are version one 28.4; version two 0.0.



Version one
Below is a relaxed TaTeP2Cl crystal, with properties calculated at the PBE level.

Computed properties:
crystal system	tetragonal

```
TaTeP2Cl
1.0
4.9551 0.0000 0.0000
0.0000 4.9551 0.0000
0.0000 0.0000 4.6833
Cl Te P Ta
1 1 2 1
direct
0.0000 0.0000 0.5000 Cl
0.5000 0.5000 0.5000 Te
0.0000 0.5000 0.0000 P
0.5000 0.0000 0.0000 P
0.0000 0.0000 0.0000 Ta
```



Version two
Below is a relaxed TaTeP2Cl crystal, with properties calculated at the PBE level.

Computed properties:
crystal system	tetragonal

```
TaTeP2Cl
1.0
5.0670 0.0000 0.0000
0.0000 5.0670 0.0000
0.0000 0.0000 4.8633
Cl Te P Ta
1 1 2 1
direct
0.0000 0.0000 0.5000 Cl
0.0000 0.0000 0.0000 Te
0.0000 0.5000 0.0000 P
0.5000 0.0000 0.0000 P
0.5000 0.5000 0.5000 Ta
```



Version three
Below is a relaxed TaTeP2Cl crystal, with properties calculated at the PBE level.

Computed properties:
crystal system	tetragonal

```
TaTeP2Cl
1.0
-0.5567 -2.1848 4.1977
5.4700 -0.0924 0.6773
-0.1981 4.2337 2.1773
Cl Te P Ta
1 1 2 1
direct
0.5000 0.5000 0.5000 Cl
0.0000 0.5000 0.0000 Te
0.0000 0.0000 0.5000 P
0.5000 0.0000 0.0000 P
0.0000 0.0000 0.0000 Ta
```



Taking the most stable structure as the zero point, the relative energies in kJ/mol of atoms are version one 0.0; version two 129.0; version three 5.8.



Version one
Below is a relaxed TaTePCl2 crystal, with properties calculated at the PBE level.

Computed properties:
crystal system	tetragonal

```
TaTePCl2
1.0
-1.2335 -4.0222 2.0821
-0.3707 -2.0610 -4.2011
5.0670 -1.4239 0.2514
Cl Te P Ta
2 1 1 1
direct
0.0000 0.5000 0.0000 Cl
0.5000 0.0000 0.0000 Cl
0.5000 0.5000 0.5000 Te
0.0000 0.0000 0.5000 P
0.0000 0.0000 0.0000 Ta
```



Version two
Below is a relaxed TaTePCl2 crystal, with properties calculated at the PBE level.

Computed properties:
crystal system	tetragonal

```
TaTePCl2
1.0
-3.1827 -3.2953 -2.0074
3.3139 -3.6673 0.7660
-2.2152 -0.9443 5.0624
Cl Te P Ta
2 1 1 1
direct
0.0000 0.5000 0.0000 Cl
0.5000 0.0000 0.0000 Cl
0.0000 0.0000 0.0000 Te
0.0000 0.0000 0.5000 P
0.5000 0.5000 0.5000 Ta
```



Taking the most stable structure as the zero point, the relative energies in kJ/mol of atoms are version one 0.0; version two 125.5.



Version one
Below is a relaxed TaTiP2Cl crystal, with properties calculated at the PBE level.

Computed properties:
crystal system	tetragonal

```
TaTiP2Cl
1.0
4.7500 0.0000 0.0000
0.0000 4.7500 0.0000
0.0000 0.0000 4.4395
Cl Ti P Ta
1 1 2 1
direct
0.0000 0.0000 0.5000 Cl
0.0000 0.0000 0.0000 Ti
0.0000 0.5000 0.0000 P
0.5000 0.0000 0.0000 P
0.5000 0.5000 0.5000 Ta
```



Version two
Below is a relaxed TaTiP2Cl crystal, with properties calculated at the PBE level.

Computed properties:
crystal system	tetragonal

```
TaTiP2Cl
1.0
-1.8562 -0.4185 -4.4768
4.4906 0.0717 -1.8687
0.2192 -4.6849 0.3471
Cl Ti P Ta
1 1 2 1
direct
0.0000 0.0000 0.5000 Cl
0.5000 0.5000 0.5000 Ti
0.0000 0.5000 0.0000 P
0.5000 0.0000 0.0000 P
0.0000 0.0000 0.0000 Ta
```



Taking the most stable structure as the zero point, the relative energies in kJ/mol of atoms are version one 26.3; version two 0.0.



Version one
Below is a relaxed TaTlPCl2 crystal, with properties calculated at the PBE level.

Computed properties:
crystal system	tetragonal

```
TaTlPCl2
1.0
-3.0656 2.3482 -2.6396
-4.0703 -4.3539 0.8539
-1.5757 2.2192 3.8042
P Tl Cl Ta
1 1 2 1
direct
0.5000 0.5000 0.5000 P
0.0000 0.5000 0.0000 Tl
0.0000 0.0000 0.5000 Cl
0.5000 0.0000 0.0000 Cl
0.0000 0.0000 0.0000 Ta
```



Version two
Below is a relaxed TaTlPCl2 crystal, with properties calculated at the PBE level.

Computed properties:
crystal system	tetragonal

```
TaTlPCl2
1.0
-4.6320 1.0171 1.5221
-1.1031 -4.8557 -0.1121
1.4375 -0.4343 4.6647
P Tl Cl Ta
1 1 2 1
direct
0.0000 0.0000 0.5000 P
0.5000 0.5000 0.5000 Tl
0.0000 0.5000 0.0000 Cl
0.5000 0.0000 0.0000 Cl
0.0000 0.0000 0.0000 Ta
```



Version three
Below is a relaxed TaTlPCl2 crystal, with properties calculated at the PBE level.

Computed properties:
crystal system	tetragonal

```
TaTlPCl2
1.0
-3.0434 3.5414 -2.1151
-0.4900 -2.9202 -4.1844
-4.2317 -2.3578 2.1411
P Tl Cl Ta
1 1 2 1
direct
0.0000 0.0000 0.5000 P
0.0000 0.0000 0.0000 Tl
0.0000 0.5000 0.0000 Cl
0.5000 0.0000 0.0000 Cl
0.5000 0.5000 0.5000 Ta
```



Taking the most stable structure as the zero point, the relative energies in kJ/mol of atoms are version one 67.7; version two 0.0; version three 153.4.



Version one
Below is a relaxed TaVP2Cl crystal, with properties calculated at the PBE level.

Computed properties:
crystal system	tetragonal

```
TaVP2Cl
1.0
4.6007 0.0000 0.0000
0.0000 4.6007 0.0000
0.0000 0.0000 4.4411
Cl V P Ta
1 1 2 1
direct
0.0000 0.0000 0.5000 Cl
0.0000 0.0000 0.0000 V
0.0000 0.5000 0.0000 P
0.5000 0.0000 0.0000 P
0.5000 0.5000 0.5000 Ta
```



Version two
Below is a relaxed TaVP2Cl crystal, with properties calculated at the PBE level.

Computed properties:
crystal system	tetragonal

```
TaVP2Cl
1.0
-1.0753 0.5839 -4.7014
-0.4567 -4.8113 -0.4931
-4.5426 0.3207 1.0788
Cl V P Ta
1 1 2 1
direct
0.0000 0.0000 0.5000 Cl
0.5000 0.5000 0.5000 V
0.0000 0.5000 0.0000 P
0.5000 0.0000 0.0000 P
0.0000 0.0000 0.0000 Ta
```



Taking the most stable structure as the zero point, the relative energies in kJ/mol of atoms are version one 3.7; version two 0.0.



Version one
Below is a relaxed YTaPCl2 crystal, with properties calculated at the PBE level.

Computed properties:
crystal system	tetragonal

```
YTaPCl2
1.0
-0.1732 3.2827 -3.4107
-4.4997 0.9459 1.1389
1.5591 3.4796 3.2699
Y P Cl Ta
1 1 2 1
direct
0.5000 0.5000 0.5000 Y
0.0000 0.0000 0.5000 P
0.0000 0.5000 0.0000 Cl
0.5000 0.0000 0.0000 Cl
0.0000 0.0000 0.0000 Ta
```



Version two
Below is a relaxed YTaPCl2 crystal, with properties calculated at the PBE level.

Computed properties:
crystal system	tetragonal

```
YTaPCl2
1.0
-0.3320 -0.6056 4.9365
1.3080 -4.7840 -0.4989
5.5262 1.4536 0.5500
Y P Cl Ta
1 1 2 1
direct
0.0000 0.0000 0.0000 Y
0.0000 0.0000 0.5000 P
0.0000 0.5000 0.0000 Cl
0.5000 0.0000 0.0000 Cl
0.5000 0.5000 0.5000 Ta
```



Taking the most stable structure as the zero point, the relative energies in kJ/mol of atoms are version one 0.0; version two 49.3.



Version one
Below is a relaxed TaZnP2Cl crystal, with properties calculated at the PBE level.

Computed properties:
crystal system	tetragonal

```
TaZnP2Cl
1.0
4.5569 0.0000 0.0000
0.0000 4.5569 0.0000
0.0000 0.0000 4.5665
P Zn Cl Ta
2 1 1 1
direct
0.0000 0.5000 0.0000 P
0.5000 0.0000 0.0000 P
0.0000 0.0000 0.0000 Zn
0.0000 0.0000 0.5000 Cl
0.5000 0.5000 0.5000 Ta
```



Version two
Below is a relaxed TaZnP2Cl crystal, with properties calculated at the PBE level.

Computed properties:
crystal system	tetragonal

```
TaZnP2Cl
1.0
4.8558 0.0000 0.0000
0.0000 4.8558 0.0000
0.0000 0.0000 4.8625
P Zn Cl Ta
2 1 1 1
direct
0.0000 0.5000 0.0000 P
0.5000 0.0000 0.0000 P
0.5000 0.5000 0.5000 Zn
0.0000 0.0000 0.5000 Cl
0.0000 0.0000 0.0000 Ta
```



Taking the most stable structure as the zero point, the relative energies in kJ/mol of atoms are version one 84.9; version two 0.0.



Version one
Below is a relaxed ZrTaPCl2 crystal, with properties calculated at the PBE level.

Computed properties:
crystal system	tetragonal

```
ZrTaPCl2
1.0
-1.5809 1.0908 4.4296
-3.5503 -3.2381 -0.4697
3.1629 -3.7662 2.0562
P Cl Zr Ta
1 2 1 1
direct
0.0000 0.0000 0.5000 P
0.0000 0.5000 0.0000 Cl
0.5000 0.0000 0.0000 Cl
0.0000 0.0000 0.0000 Zr
0.5000 0.5000 0.5000 Ta
```



Version two
Below is a relaxed ZrTaPCl2 crystal, with properties calculated at the PBE level.

Computed properties:
crystal system	tetragonal

```
ZrTaPCl2
1.0
-0.0830 0.9969 4.5947
-4.6994 -0.1580 -0.0506
0.1538 -4.9177 1.0697
P Cl Zr Ta
1 2 1 1
direct
0.0000 0.0000 0.5000 P
0.0000 0.5000 0.0000 Cl
0.5000 0.0000 0.0000 Cl
0.5000 0.5000 0.5000 Zr
0.0000 0.0000 0.0000 Ta
```



Taking the most stable structure as the zero point, the relative energies in kJ/mol of atoms are version one 21.1; version two 0.0.



Version one
Below is a relaxed TcP3Cl crystal, with properties calculated at the PBE level.

Computed properties:
crystal system	cubic

```
TcP3Cl
1.0
4.6261 0.0000 0.0000
0.0000 4.6261 0.0000
0.0000 0.0000 4.6261
P Tc Cl
3 1 1
direct
0.0000 0.5000 0.0000 P
0.0000 0.0000 0.5000 P
0.5000 0.0000 0.0000 P
0.0000 0.0000 0.0000 Tc
0.5000 0.5000 0.5000 Cl
```



Version two
Below is a relaxed TcP3Cl crystal, with properties calculated at the PBE level.

Computed properties:
crystal system	cubic

```
TcP3Cl
1.0
-0.8693 -0.5853 -4.2229
-3.1124 -2.8581 1.0368
-2.9134 3.2280 0.1523
P Tc Cl
3 1 1
direct
0.0000 0.5000 0.0000 P
0.0000 0.0000 0.5000 P
0.5000 0.0000 0.0000 P
0.5000 0.5000 0.5000 Tc
0.0000 0.0000 0.0000 Cl
```



Taking the most stable structure as the zero point, the relative energies in kJ/mol of atoms are version one 0.0; version two 113.7.